[1]
FeRh2Pb | SCAN | single point on PBEsol structure

a b c (Å): 8.357 8.357 8.357
angles (deg): 20.81 20.81 20.81
Fractional coordinates of all 4 atoms:
Fe 0.000 0.000 0.000
Rh 0.259 0.259 0.259
Rh 0.741 0.741 0.741
Pb 0.500 0.500 0.500

Values from the calculation:
The energy is -40.1873 eV/atom. Its magnetization is 4.62 μB/f.u. The calculation puts the density of states at the Fermi level at 2.6 states/eV/f.u. Its formation energy from the elements is 0.176 eV/atom.


[2]
FeRhPb2 | SCAN | single point on PBEsol structure

a b c (Å): 6.580 6.580 6.580
angles (deg): 35.61 35.61 35.61
Fractional coordinates of all 4 atoms:
Fe 0.000 0.000 0.000
Rh 0.685 0.685 0.685
Pb 0.246 0.246 0.246
Pb 0.443 0.443 0.443

Values from the calculation:
The energy is -50.6697 eV/atom. Its energy above the most stable polymorph in this dataset is 99 meV per atom. Its magnetization is 3.35 μB/f.u. The calculation puts the density of states at the Fermi level at 2.0 states/eV/f.u. Its formation energy from the elements is 0.196 eV/atom.


[3]
Fe2RuRhPb | SCAN | single point on PBEsol structure

a b c (Å): 4.680 4.680 4.809
angles (deg): 90.00 90.00 90.00
Fractional coordinates of all 5 atoms:
Fe 0.000 0.500 0.000
Fe 0.500 0.000 0.000
Ru 0.000 0.000 0.500
Rh 0.500 0.500 0.500
Pb 0.500 0.500 0.000

Values from the calculation:
The energy is -34.1476 eV/atom. Its magnetization is 9.11 μB/f.u. The calculation puts the density of states at the Fermi level at 5.3 states/eV/f.u. Its formation energy from the elements is 1.980 eV/atom.


[4]
Fe3RuPb | SCAN | single point on PBEsol structure

a b c (Å): 4.676 4.676 4.676
angles (deg): 90.00 90.00 90.00
Fractional coordinates of all 5 atoms:
Fe 0.000 0.000 0.500
Fe 0.000 0.500 0.000
Fe 0.500 0.000 0.000
Ru 0.500 0.500 0.500
Pb 0.000 0.000 0.000

Values from the calculation:
The energy is -31.0165 eV/atom. Its magnetization is 11.87 μB/f.u. The calculation puts the density of states at the Fermi level at 3.6 states/eV/f.u. Its formation energy from the elements is 1.983 eV/atom.


[5]
Fe2TcRuPb | SCAN | single point on PBEsol structure

a b c (Å): 4.664 4.664 4.875
angles (deg): 90.00 90.00 90.00
Fractional coordinates of all 5 atoms:
Fe 0.000 0.500 0.000
Fe 0.500 0.000 0.000
Tc 0.000 0.000 0.500
Ru 0.500 0.500 0.500
Pb 0.500 0.500 0.000

Values from the calculation:
The energy is -34.1724 eV/atom. Its magnetization is 10.71 μB/f.u. The calculation puts the density of states at the Fermi level at 6.9 states/eV/f.u. Its formation energy from the elements is 2.213 eV/atom.


[6]
FeSbPb2 | SCAN | single point on PBEsol structure

a b c (Å): 5.706 5.706 5.706
angles (deg): 133.09 133.09 68.51
Fractional coordinates of all 4 atoms:
Fe 0.000 0.000 0.000
Sb 0.250 0.750 0.500
Pb 0.500 0.500 0.000
Pb 0.750 0.250 0.500

Values from the calculation:
The energy is -51.2507 eV/atom. Its magnetization is 2.99 μB/f.u. The calculation puts the density of states at the Fermi level at 2.0 states/eV/f.u. The energy relative to the elements, uncorrected comes out at 487 meV per atom.


[7]
FeSbPb2 | SCAN | single point on PBEsol structure

a b c (Å): 3.297 3.297 8.409
angles (deg): 90.00 90.00 90.00
Fractional coordinates of all 4 atoms:
Fe 0.000 0.000 0.000
Sb 0.500 0.500 0.151
Pb 0.000 0.000 0.452
Pb 0.500 0.500 0.773

Values from the calculation:
The energy is -51.4709 eV/atom. Its magnetization is 2.21 μB/f.u. The calculation puts the density of states at the Fermi level at 1.9 states/eV/f.u. The energy relative to the elements, uncorrected comes out at 267 meV per atom.


[8]
TaFeSb2Pb | SCAN | single point on PBEsol structure

a b c (Å): 4.772 4.772 4.851
angles (deg): 90.00 90.00 90.00
Fractional coordinates of all 5 atoms:
Ta 0.000 0.000 0.000
Fe 0.000 0.000 0.500
Sb 0.000 0.500 0.500
Sb 0.500 0.000 0.500
Pb 0.500 0.500 0.000

Values from the calculation:
The energy is -46.2992 eV/atom. Its magnetization is 0.59 μB/f.u. The calculation puts the density of states at the Fermi level at 3.4 states/eV/f.u. The energy relative to the elements, uncorrected comes out at 704 meV per atom.


Question: Which value of energy does entry 6 give?
Answer: -51.2507 eV/atom


Question: Among the records above, which one has the lowest energy?
Answer: number 7


Question: The highest magnetization belongs to which entry?
Answer: Fe3RuPb


What did the fifth record say?
Fe2TcRuPb | SCAN | single point on PBEsol structure

a b c (Å): 4.664 4.664 4.875
angles (deg): 90.00 90.00 90.00
Fractional coordinates of all 5 atoms:
Fe 0.000 0.500 0.000
Fe 0.500 0.000 0.000
Tc 0.000 0.000 0.500
Ru 0.500 0.500 0.500
Pb 0.500 0.500 0.000

Values from the calculation:
The energy is -34.1724 eV/atom. Its magnetization is 10.71 μB/f.u. The calculation puts the density of states at the Fermi level at 6.9 states/eV/f.u. Its formation energy from the elements is 2.213 eV/atom.